Here is Sm2ScIn3 after structural relaxation from Alexandria via LeMat-Bulk. Energies are from PBE.

Values from the calculation:
V = 28.70 Å³ per atom
spin magnetization = 0.000 μB/atom
energy relative to the elements = -0.212 eV/atom
excess energy over the best structure of this formula in the dataset = 5.86 kcal/mol of atoms

Cell lengths 5.768, 7.789, 7.789 Å; angles 100.19, 90.00, 90.00 degrees
Fractional coordinates of all 12 atoms:
Sm: 0.750 0.578 0.857
Sm: 0.250 0.143 0.422
Sm: 0.250 0.422 0.143
Sm: 0.750 0.857 0.578
Sc: 0.250 0.898 0.898
Sc: 0.750 0.102 0.102
In: 0.000 0.204 0.796
In: 0.500 0.204 0.796
In: 0.250 0.591 0.591
In: 0.750 0.409 0.409
In: 0.500 0.796 0.204
In: 0.000 0.796 0.204

Here is SmScInSn after structural relaxation from Alexandria via LeMat-Bulk. Energies are from PBE.

Values from the calculation:
V = 25.64 Å³ per atom
spin magnetization = 0.000 μB/atom
energy relative to the elements = -0.458 eV/atom

Cell lengths 5.254, 5.254, 5.254 Å; angles 60.00, 60.00, 60.00 degrees
Fractional coordinates of all 4 atoms:
Sc: 0.000 0.000 0.000
Sn: 0.250 0.250 0.250
Sm: 0.500 0.500 0.500
In: 0.750 0.750 0.750

Here is TbSmScIn after structural relaxation from Alexandria via LeMat-Bulk. Energies are from PBE.

Values from the calculation:
V = 27.24 Å³ per atom
spin magnetization = 0.003 μB/atom
energy relative to the elements = -0.260 eV/atom
excess energy over the best structure of this formula in the dataset = 0.00 kcal/mol of atoms

Cell lengths 4.800, 4.754, 4.775 Å; angles 90.00, 90.00, 90.00 degrees
Fractional coordinates of all 4 atoms:
Tb: 0.500 0.000 0.500
Sm: 0.500 0.500 0.000
Sc: 0.000 0.000 0.000
In: 0.000 0.500 0.500

Here is TbSmScIn after structural relaxation from Alexandria via LeMat-Bulk. Energies are from PBE.

Values from the calculation:
V = 27.72 Å³ per atom
spin magnetization = 0.283 μB/atom
energy relative to the elements = -0.165 eV/atom
excess energy over the best structure of this formula in the dataset = 2.18 kcal/mol of atoms

Cell lengths 5.392, 5.392, 5.392 Å; angles 60.00, 60.00, 60.00 degrees
Fractional coordinates of all 4 atoms:
Sc: 0.500 0.500 0.500
Tb: 0.750 0.750 0.750
Sm: 0.250 0.250 0.250
In: 0.000 0.000 0.000

Here is TbSm2Sc2In5 after structural relaxation from Alexandria via LeMat-Bulk. Energies are from PBE.

Values from the calculation:
V = 26.30 Å³ per atom
spin magnetization = 0.000 μB/atom
energy relative to the elements = -0.364 eV/atom

Cell lengths 4.669, 10.613, 10.613 Å; angles 90.00, 90.00, 90.00 degrees
Fractional coordinates of all 20 atoms:
Tb: 0.000 0.000 0.000
Tb: 0.000 0.500 0.500
Sm: 0.000 0.678 0.178
Sm: 0.000 0.322 0.822
Sm: 0.000 0.178 0.322
Sm: 0.000 0.822 0.678
Sc: 0.000 0.119 0.619
Sc: 0.000 0.881 0.381
Sc: 0.000 0.619 0.881
Sc: 0.000 0.381 0.119
In: 0.500 0.203 0.065
In: 0.500 0.797 0.935
In: 0.500 0.065 0.797
In: 0.500 0.703 0.435
In: 0.500 0.935 0.203
In: 0.500 0.297 0.565
In: 0.500 0.565 0.703
In: 0.500 0.435 0.297
In: 0.500 0.500 0.000
In: 0.500 0.000 0.500

Here is SmScInTc after structural relaxation from Alexandria via LeMat-Bulk. Energies are from PBE.

Values from the calculation:
V = 22.00 Å³ per atom
spin magnetization = 0.000 μB/atom
energy relative to the elements = -0.129 eV/atom

Cell lengths 4.993, 4.993, 4.993 Å; angles 60.00, 60.00, 60.00 degrees
Fractional coordinates of all 4 atoms:
Sc: 0.000 0.000 0.000
Tc: 0.250 0.250 0.250
Sm: 0.500 0.500 0.500
In: 0.750 0.750 0.750

Here is Sm3ScIn3Te8 after structural relaxation from Alexandria via LeMat-Bulk. Energies are from PBE.

Values from the calculation:
V = 35.34 Å³ per atom
spin magnetization = 0.000 μB/atom
energy relative to the elements, uncorrected = -22.74 kcal/mol of atoms

Cell lengths 8.810, 8.808, 9.385 Å; angles 117.96, 90.00, 120.01 degrees
Fractional coordinates of all 15 atoms:
Sm: 0.500 0.000 0.500
Sm: 0.500 0.500 0.500
Sm: 0.000 0.500 0.500
Sc: 0.000 0.000 0.500
In: 0.000 0.000 0.000
In: 0.000 0.500 0.000
In: 0.500 0.500 0.000
Te: 0.256 0.511 0.267
Te: 0.744 0.489 0.733
Te: 0.768 0.535 0.279
Te: 0.232 0.465 0.721
Te: 0.768 0.011 0.279
Te: 0.232 0.989 0.721
Te: 0.243 0.011 0.279
Te: 0.757 0.989 0.721

Here is Sm2ScIn3Te6 after structural relaxation from Alexandria via LeMat-Bulk. Energies are from PBE.

Values from the calculation:
V = 33.85 Å³ per atom
spin magnetization = 0.000 μB/atom
energy relative to the elements, uncorrected = -21.55 kcal/mol of atoms

Cell lengths 7.624, 7.624, 8.455 Å; angles 98.66, 98.66, 119.94 degrees
Fractional coordinates of all 12 atoms:
Sm: 0.334 0.666 0.000
Sm: 0.666 0.334 0.000
Sc: 0.000 0.000 0.000
In: 0.172 0.828 0.500
In: 0.828 0.172 0.500
In: 0.500 0.500 0.500
Te: 0.928 0.610 0.783
Te: 0.757 0.757 0.223
Te: 0.072 0.390 0.217
Te: 0.610 0.928 0.783
Te: 0.243 0.243 0.777
Te: 0.390 0.072 0.217

Here is SmThScIn after structural relaxation from Alexandria via LeMat-Bulk. Energies are from PBE.

Values from the calculation:
V = 27.46 Å³ per atom
spin magnetization = 0.000 μB/atom
energy relative to the elements = -0.032 eV/atom

Cell lengths 5.376, 5.376, 5.376 Å; angles 60.00, 60.00, 60.00 degrees
Fractional coordinates of all 4 atoms:
Sc: 0.000 0.000 0.000
Sm: 0.500 0.500 0.500
Th: 0.250 0.250 0.250
In: 0.750 0.750 0.750

Here is SmScTlIn after structural relaxation from Alexandria via LeMat-Bulk. Energies are from PBE.

Values from the calculation:
V = 25.84 Å³ per atom
spin magnetization = 0.000 μB/atom
energy relative to the elements = -0.369 eV/atom

Cell lengths 5.268, 5.268, 5.268 Å; angles 60.00, 60.00, 60.00 degrees
Fractional coordinates of all 4 atoms:
Sc: 0.000 0.000 0.000
Tl: 0.250 0.250 0.250
Sm: 0.500 0.500 0.500
In: 0.750 0.750 0.750

Here is SmTm2ScIn4 after structural relaxation from Alexandria via LeMat-Bulk. Energies are from PBE.

Values from the calculation:
V = 25.61 Å³ per atom
spin magnetization = 0.000 μB/atom
energy relative to the elements = -0.423 eV/atom

Cell lengths 5.241, 5.241, 9.129 Å; angles 73.32, 73.32, 60.00 degrees
Fractional coordinates of all 8 atoms:
Sm: 0.000 0.000 0.000
Tm: 0.751 0.751 0.747
Tm: 0.249 0.249 0.253
Sc: 0.500 0.500 0.500
In: 0.378 0.378 0.866
In: 0.872 0.872 0.383
In: 0.128 0.128 0.617
In: 0.622 0.622 0.134

Here is SmYScIn after structural relaxation from Alexandria via LeMat-Bulk. Energies are from PBE.

Values from the calculation:
V = 27.24 Å³ per atom
spin magnetization = 0.411 μB/atom
energy relative to the elements = -0.106 eV/atom
excess energy over the best structure of this formula in the dataset = 3.58 kcal/mol of atoms

Cell lengths 5.361, 5.361, 5.361 Å; angles 60.00, 60.00, 60.00 degrees
Fractional coordinates of all 4 atoms:
Y: 0.750 0.750 0.750
Sc: 0.250 0.250 0.250
Sm: 0.000 0.000 0.000
In: 0.500 0.500 0.500

Here is SmY2Sc2In5 after structural relaxation from Alexandria via LeMat-Bulk. Energies are from PBE.

Values from the calculation:
V = 26.28 Å³ per atom
spin magnetization = 0.000 μB/atom
energy relative to the elements = -0.352 eV/atom

Cell lengths 4.684, 10.593, 10.593 Å; angles 90.00, 90.00, 90.00 degrees
Fractional coordinates of all 20 atoms:
Sm: 0.000 0.000 0.000
Sm: 0.000 0.500 0.500
Y: 0.000 0.678 0.178
Y: 0.000 0.322 0.822
Y: 0.000 0.178 0.322
Y: 0.000 0.822 0.678
Sc: 0.000 0.118 0.618
Sc: 0.000 0.882 0.382
Sc: 0.000 0.618 0.882
Sc: 0.000 0.382 0.118
In: 0.500 0.204 0.069
In: 0.500 0.796 0.931
In: 0.500 0.069 0.796
In: 0.500 0.704 0.431
In: 0.500 0.931 0.204
In: 0.500 0.296 0.569
In: 0.500 0.569 0.704
In: 0.500 0.431 0.296
In: 0.500 0.500 0.000
In: 0.500 0.000 0.500

Here is SmYScIn after structural relaxation from Alexandria via LeMat-Bulk. Energies are from PBE.

Values from the calculation:
V = 27.35 Å³ per atom
spin magnetization = 0.167 μB/atom
energy relative to the elements = -0.261 eV/atom
excess energy over the best structure of this formula in the dataset = 0.00 kcal/mol of atoms

Cell lengths 4.757, 4.772, 4.819 Å; angles 90.00, 90.00, 90.00 degrees
Fractional coordinates of all 4 atoms:
Sm: 0.000 0.000 0.000
Y: 0.000 0.500 0.500
Sc: 0.500 0.500 0.000
In: 0.500 0.000 0.500

Here is Sc3InSn after structural relaxation from Alexandria via LeMat-Bulk. Energies are from PBE.

Values from the calculation:
V = 30.02 Å³ per atom
spin magnetization = 0.000 μB/atom
energy relative to the elements = 0.120 eV/atom
excess energy over the best structure of this formula in the dataset = 10.15 kcal/mol of atoms

Cell lengths 5.314, 5.314, 5.314 Å; angles 90.00, 90.00, 90.00 degrees
Fractional coordinates of all 5 atoms:
Sc: 0.000 0.500 0.000
Sc: 0.000 0.000 0.500
Sc: 0.500 0.000 0.000
Sn: 0.000 0.000 0.000
In: 0.500 0.500 0.500

Here is ScInSn after structural relaxation from Alexandria via LeMat-Bulk. Energies are from PBE.

Values from the calculation:
V = 24.11 Å³ per atom
spin magnetization = 0.000 μB/atom
energy relative to the elements = -0.385 eV/atom
excess energy over the best structure of this formula in the dataset = 0.91 kcal/mol of atoms

Cell lengths 6.155, 5.956, 8.507 Å; angles 90.00, 111.90, 90.00 degrees
Fractional coordinates of all 12 atoms:
Sc: 0.536 0.614 0.838
Sc: 0.964 0.114 0.162
Sc: 0.464 0.386 0.162
Sc: 0.036 0.886 0.838
In: 0.153 0.791 0.517
In: 0.347 0.291 0.483
In: 0.847 0.209 0.483
In: 0.653 0.709 0.517
Sn: 0.965 0.612 0.159
Sn: 0.535 0.112 0.841
Sn: 0.035 0.388 0.841
Sn: 0.465 0.888 0.159

Here is Sc6In5Sn after structural relaxation from Alexandria via LeMat-Bulk. Energies are from PBE.

Values from the calculation:
V = 22.48 Å³ per atom
spin magnetization = 0.226 μB/atom
energy relative to the elements = -0.457 eV/atom

Cell lengths 4.546, 8.401, 8.401 Å; angles 108.46, 105.69, 105.69 degrees
Fractional coordinates of all 12 atoms:
Sc: 0.248 0.082 0.414
Sc: 0.752 0.586 0.918
Sc: 0.746 0.246 0.246
Sc: 0.254 0.754 0.754
Sc: 0.248 0.414 0.082
Sc: 0.752 0.918 0.586
Sn: 0.000 0.000 0.000
In: 0.500 0.172 0.828
In: 0.000 0.335 0.665
In: 0.500 0.500 0.500
In: 0.000 0.665 0.335
In: 0.500 0.828 0.172

Here is Sc4In3Sn after structural relaxation from Alexandria via LeMat-Bulk. Energies are from PBE.

Values from the calculation:
V = 22.53 Å³ per atom
spin magnetization = 0.137 μB/atom
energy relative to the elements = -0.440 eV/atom

Cell lengths 5.325, 6.585, 10.282 Å; angles 90.00, 90.00, 90.00 degrees
Fractional coordinates of all 16 atoms:
Sc: 0.500 0.749 0.000
Sc: 0.500 0.749 0.500
Sc: 0.500 0.251 0.000
Sc: 0.500 0.251 0.500
Sc: 0.127 0.749 0.750
Sc: 0.873 0.749 0.250
Sc: 0.873 0.251 0.250
Sc: 0.127 0.251 0.750
Sn: 0.000 0.500 0.000
Sn: 0.000 0.500 0.500
In: 0.000 0.000 0.000
In: 0.000 0.000 0.500
In: 0.629 0.000 0.750
In: 0.371 0.000 0.250
In: 0.623 0.500 0.750
In: 0.377 0.500 0.250

Here is Sc2InSn after structural relaxation from Alexandria via LeMat-Bulk. Energies are from PBE.

Values from the calculation:
V = 26.10 Å³ per atom
spin magnetization = 0.000 μB/atom
energy relative to the elements = -0.061 eV/atom

Cell lengths 10.762, 10.762, 10.762 Å; angles 18.04, 18.04, 18.04 degrees
Fractional coordinates of all 4 atoms:
Sc: 0.908 0.908 0.908
Sc: 0.092 0.092 0.092
Sn: 0.000 0.000 0.000
In: 0.500 0.500 0.500

Here is ScIn2Sn2 after structural relaxation from Alexandria via LeMat-Bulk. Energies are from PBE.

Values from the calculation:
V = 26.02 Å³ per atom
spin magnetization = 0.000 μB/atom
energy relative to the elements = -0.030 eV/atom
excess energy over the best structure of this formula in the dataset = 0.93 kcal/mol of atoms

Cell lengths 7.934, 7.934, 4.133 Å; angles 90.00, 90.00, 90.00 degrees
Fractional coordinates of all 10 atoms:
Sc: 0.000 0.000 0.000
Sc: 0.500 0.500 0.000
Sn: 0.166 0.666 0.500
Sn: 0.666 0.834 0.500
Sn: 0.834 0.334 0.500
Sn: 0.334 0.166 0.500
In: 0.365 0.865 0.000
In: 0.865 0.635 0.000
In: 0.635 0.135 0.000
In: 0.135 0.365 0.000

Here is Sc2In3Sn3 after structural relaxation from Alexandria via LeMat-Bulk. Energies are from PBE.

Values from the calculation:
V = 24.77 Å³ per atom
spin magnetization = 0.000 μB/atom
energy relative to the elements = -0.220 eV/atom

Cell lengths 5.351, 5.441, 6.806 Å; angles 90.00, 90.00, 90.00 degrees
Fractional coordinates of all 8 atoms:
Sc: 0.000 0.000 0.254
Sc: 0.000 0.000 0.746
In: 0.500 0.500 0.248
In: 0.500 0.500 0.752
In: 0.000 0.500 0.000
Sn: 0.000 0.500 0.500
Sn: 0.500 0.000 0.000
Sn: 0.500 0.000 0.500

Here is ScIn2Sn after structural relaxation from Alexandria via LeMat-Bulk. Energies are from PBE.

Values from the calculation:
V = 27.78 Å³ per atom
spin magnetization = 0.000 μB/atom
energy relative to the elements = 0.164 eV/atom
excess energy over the best structure of this formula in the dataset = 10.49 kcal/mol of atoms

Cell lengths 3.380, 3.380, 11.402 Å; angles 81.48, 81.48, 60.00 degrees
Fractional coordinates of all 4 atoms:
Sc: 0.000 0.000 0.000
Sn: 0.500 0.500 0.500
In: 0.088 0.088 0.735
In: 0.912 0.912 0.265

Here is Sc2InSn after structural relaxation from Alexandria via LeMat-Bulk. Energies are from PBE.

Values from the calculation:
V = 22.96 Å³ per atom
spin magnetization = 0.108 μB/atom
energy relative to the elements = -0.439 eV/atom

Cell lengths 3.740, 3.740, 6.566 Å; angles 90.00, 90.00, 90.00 degrees
Fractional coordinates of all 4 atoms:
Sc: 0.000 0.000 0.745
Sc: 0.000 0.000 0.255
Sn: 0.500 0.500 0.500
In: 0.500 0.500 0.000

Here is ScIn2Sn2 after structural relaxation from Alexandria via LeMat-Bulk. Energies are from PBE.

Values from the calculation:
V = 26.17 Å³ per atom
spin magnetization = 0.000 μB/atom
energy relative to the elements = -0.070 eV/atom
excess energy over the best structure of this formula in the dataset = 0.00 kcal/mol of atoms

Cell lengths 7.865, 7.865, 4.231 Å; angles 90.00, 90.00, 90.00 degrees
Fractional coordinates of all 10 atoms:
Sc: 0.000 0.000 0.000
Sc: 0.500 0.500 0.000
Sn: 0.360 0.860 0.000
Sn: 0.860 0.640 0.000
Sn: 0.640 0.140 0.000
Sn: 0.140 0.360 0.000
In: 0.163 0.663 0.500
In: 0.663 0.837 0.500
In: 0.837 0.337 0.500
In: 0.337 0.163 0.500